1.
Material: WAu
Method: DFT, GGA-PBE
State: optimized geometry

Unit cell a=2.7590 b=14.2530 c=5.1310 alpha=90.00 beta=90.00 gamma=90.00
Sites, in units of the cell vectors:
W 0.2500 0.0840 0.0882
W 0.2500 0.4160 0.0882
W 0.2500 0.7500 0.7437
W 0.7500 0.2500 0.2563
W 0.7500 0.5840 0.9118
W 0.7500 0.9160 0.9118
Au 0.2500 0.2500 0.7656
Au 0.2500 0.5824 0.4092
Au 0.2500 0.9176 0.4092
Au 0.7500 0.0824 0.5908
Au 0.7500 0.4176 0.5908
Au 0.7500 0.7500 0.2344

Calculated values
offset from the most stable computed form: 198.1 meV/atom
DFT formation energy: 0.90 eV per formula unit
ρ: 18.803 g cm⁻³
total energy: -15.335 eV per formula unit

---

2.
Material: Tc3NiAu
Method: DFT, GGA-PBE
State: optimized geometry

Unit cell a=4.9357 b=4.9357 c=4.9357 alpha=90.00 beta=90.00 gamma=90.00
Sites, in units of the cell vectors:
Tc 0.0000 0.0000 0.5000
Tc 0.0000 0.5000 0.0000
Tc 0.5000 0.0000 0.0000
Ni 0.5000 0.5000 0.5000
Au 0.0000 0.0000 0.0000

Calculated values
offset from the most stable computed form: 1189.6 meV/atom
DFT formation energy: 13.05 eV per formula unit
ρ: 7.591 g cm⁻³
total energy: -27.103 eV per formula unit

---

3.
Material: Pr7Ho6Tm16
Method: DFT, GGA-PBE
State: optimized geometry

Unit cell a=11.0050 b=11.0050 c=11.0050 alpha=60.00 beta=60.00 gamma=60.00
Sites, in units of the cell vectors:
Pr 0.0000 0.0000 0.0000
Pr 0.0000 0.0000 0.5000
Pr 0.0000 0.5000 0.0000
Pr 0.0000 0.5000 0.5000
Pr 0.5000 0.0000 0.0000
Pr 0.5000 0.0000 0.5000
Pr 0.5000 0.5000 0.0000
Ho 0.2261 0.2261 0.7739
Ho 0.2261 0.7739 0.2261
Ho 0.2261 0.7739 0.7739
Ho 0.7739 0.2261 0.2261
Ho 0.7739 0.2261 0.7739
Ho 0.7739 0.7739 0.2261
Tm 0.1494 0.1494 0.1494
Tm 0.1494 0.1494 0.5519
Tm 0.1494 0.5519 0.1494
Tm 0.1614 0.6129 0.6129
Tm 0.3871 0.3871 0.3871
Tm 0.3871 0.3871 0.8386
Tm 0.3871 0.8386 0.3871
Tm 0.4481 0.8506 0.8506
Tm 0.5519 0.1494 0.1494
Tm 0.6129 0.1614 0.6129
Tm 0.6129 0.6129 0.1614
Tm 0.6129 0.6129 0.6129
Tm 0.8386 0.3871 0.3871
Tm 0.8506 0.4481 0.8506
Tm 0.8506 0.8506 0.4481
Tm 0.8506 0.8506 0.8506

Calculated values
DFT formation energy: 5.84 eV per formula unit
ρ: 8.244 g cm⁻³
total energy: -126.632 eV per formula unit

---

4.
Material: AgPdS2Cl
Method: DFT, GGA-PBE
State: optimized geometry

Unit cell a=4.7019 b=4.7019 c=4.9801 alpha=90.00 beta=90.00 gamma=90.00
Sites, in units of the cell vectors:
Ag 0.0000 0.0000 0.0000
Pd 0.5000 0.5000 0.5000
S 0.0000 0.5000 0.5000
S 0.5000 0.0000 0.5000
Cl 0.5000 0.5000 0.0000

Calculated values
offset from the most stable computed form: 0.0 meV/atom
E_form (uncorrected): 0.35 eV per atom
ρ: 4.734 g cm⁻³
total energy: -16.399 eV per formula unit

---

5.
Material: TbCeThZr
Method: DFT, GGA-PBE
State: optimized geometry

Unit cell a=5.4696 b=5.4696 c=5.4696 alpha=60.00 beta=60.00 gamma=60.00
Sites, in units of the cell vectors:
Tb 0.0000 0.0000 0.0000
Ce 0.2500 0.2500 0.2500
Th 0.7500 0.7500 0.7500
Zr 0.5000 0.5000 0.5000

Calculated values
DFT formation energy: 0.83 eV per formula unit
ρ: 8.931 g cm⁻³
total energy: -25.702 eV per formula unit

---

6.
Material: CdFeTe2
Method: DFT, GGA-PBE
State: optimized geometry

Unit cell a=3.7940 b=3.7940 c=8.0311 alpha=103.43 beta=103.43 gamma=59.68
Sites, in units of the cell vectors:
Cd 0.0000 0.0000 0.0000
Fe 0.5000 0.5000 0.5000
Te 0.2278 0.2278 0.6838
Te 0.7722 0.7722 0.3162

Calculated values
E_form (uncorrected): 0.02 eV per atom
ρ: 7.313 g cm⁻³
total energy: -15.565 eV per formula unit

---

7.
Material: CoSbOs2
Method: DFT, GGA-PBE
State: optimized geometry

Unit cell a=2.8541 b=2.8541 c=9.1737 alpha=90.00 beta=90.00 gamma=119.89
Sites, in units of the cell vectors:
Co 0.0000 0.0000 0.0000
Sb 0.5000 0.5000 0.7432
Os 0.0000 0.0000 0.4626
Os 0.5000 0.5000 0.2252

Calculated values
offset from the most stable computed form: 454.3 meV/atom
E_form (uncorrected): 0.90 eV per atom
ρ: 14.384 g cm⁻³
total energy: -30.093 eV per formula unit

---

8.
Material: Rb3Cu2PdI8
Method: DFT, GGA-PBE
State: optimized geometry

Unit cell a=8.0510 b=8.0510 c=10.2470 alpha=90.00 beta=90.00 gamma=120.00
Sites, in units of the cell vectors:
Rb 0.0000 0.0000 0.0000
Rb 0.3333 0.6667 0.6266
Rb 0.6667 0.3333 0.3734
Cu 0.3333 0.6667 0.2224
Cu 0.6667 0.3333 0.7776
Pd 0.0000 0.0000 0.5000
I 0.1613 0.3226 0.3318
I 0.1613 0.8387 0.3318
I 0.3226 0.1613 0.6682
I 0.3333 0.6667 0.9801
I 0.6667 0.3333 0.0199
I 0.6774 0.8387 0.3318
I 0.8387 0.1613 0.6682
I 0.8387 0.6774 0.6682

Calculated values
E_form (uncorrected): -0.69 eV per atom
ρ: 4.345 g cm⁻³
total energy: -38.388 eV per formula unit

---

9.
Material: Cd2NiMo
Method: DFT, GGA-PBE
State: optimized geometry

Unit cell a=4.8142 b=4.8142 c=4.8142 alpha=127.82 beta=127.82 gamma=76.92
Sites, in units of the cell vectors:
Cd 0.0000 0.0000 0.0000
Cd 0.7500 0.2500 0.5000
Ni 0.5000 0.5000 0.0000
Mo 0.2500 0.7500 0.5000

Calculated values
offset from the most stable computed form: 357.5 meV/atom
DFT formation energy: 1.96 eV per formula unit
ρ: 9.322 g cm⁻³
total energy: -16.480 eV per formula unit

---

10.
Material: NaPmSnPd
Method: DFT, GGA-PBE
State: optimized geometry

Unit cell a=5.1442 b=5.1442 c=5.1442 alpha=60.00 beta=60.00 gamma=60.00
Sites, in units of the cell vectors:
Na 0.0000 0.0000 0.0000
Pm 0.5000 0.5000 0.5000
Sn 0.7500 0.7500 0.7500
Pd 0.2500 0.2500 0.2500

Calculated values
DFT formation energy: -1.67 eV per formula unit
ρ: 6.782 g cm⁻³
total energy: -16.936 eV per formula unit

---

11.
Material: TeIrBr2
Method: DFT, GGA-PBE
State: optimized geometry

Unit cell a=5.5577 b=3.7970 c=5.5646 alpha=90.00 beta=106.98 gamma=90.00
Sites, in units of the cell vectors:
Te 0.0000 0.0000 0.0000
Ir 0.2954 0.5000 0.1810
Br 0.2720 0.5000 0.6447
Br 0.6383 0.0000 0.3124

Calculated values
E_form (uncorrected): -0.05 eV per atom
ρ: 7.092 g cm⁻³
total energy: -15.551 eV per formula unit

---

12.
Material: Cu4SeIBr2
Method: DFT, GGA-PBE
State: optimized geometry

Unit cell a=7.1076 b=7.1076 c=5.7429 alpha=113.82 beta=113.82 gamma=47.65
Sites, in units of the cell vectors:
Cu 0.1210 0.1210 0.3491
Cu 0.4210 0.3361 0.1080
Cu 0.6639 0.5790 0.8920
Cu 0.8790 0.8790 0.6509
Se 0.7703 0.2297 0.0000
I 0.2704 0.7296 0.5000
Br 0.0209 0.4787 0.7498
Br 0.5213 0.9791 0.2502

Calculated values
E_form (uncorrected): -0.19 eV per atom
ρ: 5.350 g cm⁻³
total energy: -26.287 eV per formula unit

---

13.
Material: CsNpPS6
Method: DFT, GGA-PBE
State: optimized geometry

Unit cell a=6.3280 b=6.3280 c=8.0587 alpha=90.00 beta=90.00 gamma=120.00
Sites, in units of the cell vectors:
Cs 0.0000 0.0000 0.0000
Np 0.3333 0.6667 0.5000
P 0.6667 0.3333 0.5000
S 0.3859 0.0296 0.6672
S 0.3859 0.3564 0.3328
S 0.6436 0.0296 0.3328
S 0.6436 0.6141 0.6672
S 0.9704 0.3564 0.6672
S 0.9704 0.6141 0.3328

Calculated values
E_form (uncorrected): -0.51 eV per atom
ρ: 3.525 g cm⁻³
total energy: -48.603 eV per formula unit

---

14.
Material: LaHo5Tl3
Method: DFT, GGA-PBE
State: optimized geometry

Unit cell a=9.3945 b=9.3945 c=6.7663 alpha=90.00 beta=90.00 gamma=120.00
Sites, in units of the cell vectors:
La 0.0000 0.0000 0.0000
La 0.0000 0.0000 0.5000
Ho 0.0000 0.3291 0.2500
Ho 0.0000 0.6709 0.7500
Ho 0.3291 0.0000 0.2500
Ho 0.3291 0.3291 0.7500
Ho 0.3333 0.6667 0.0000
Ho 0.3333 0.6667 0.5000
Ho 0.6667 0.3333 0.0000
Ho 0.6667 0.3333 0.5000
Ho 0.6709 0.0000 0.7500
Ho 0.6709 0.6709 0.2500
Tl 0.0000 0.3423 0.7500
Tl 0.0000 0.6577 0.2500
Tl 0.3423 0.0000 0.7500
Tl 0.3423 0.3423 0.2500
Tl 0.6577 0.0000 0.2500
Tl 0.6577 0.6577 0.7500

Calculated values
DFT formation energy: -2.30 eV per formula unit
ρ: 10.124 g cm⁻³
total energy: -37.217 eV per formula unit

---

15.
Material: Ba3Be2CdO6
Method: DFT, GGA-PBE
State: optimized geometry

Unit cell a=5.8337 b=5.8337 c=6.9249 alpha=90.00 beta=90.00 gamma=120.00
Sites, in units of the cell vectors:
Ba 0.0000 0.0000 0.0000
Ba 0.3333 0.6667 0.6744
Ba 0.6667 0.3333 0.3256
Be 0.3333 0.6667 0.2655
Be 0.6667 0.3333 0.7345
Cd 0.0000 0.0000 0.5000
O 0.1810 0.3620 0.2842
O 0.1810 0.8190 0.2842
O 0.3620 0.1810 0.7158
O 0.6380 0.8190 0.2842
O 0.8190 0.1810 0.7158
O 0.8190 0.6380 0.7158

Calculated values
E_form (uncorrected): -2.29 eV per atom
ρ: 5.194 g cm⁻³
total energy: -71.318 eV per formula unit

---

16.
Material: Hg2AuCl
Method: DFT, GGA-PBE
State: optimized geometry

Unit cell a=6.5180 b=6.5180 c=6.5180 alpha=108.93 beta=108.93 gamma=110.57
Sites, in units of the cell vectors:
Hg 0.1101 0.6250 0.9851
Hg 0.3750 0.3601 0.4851
Hg 0.6399 0.1250 0.0149
Hg 0.8750 0.8899 0.5149
Au 0.0000 0.0000 0.0000
Au 0.7500 0.2500 0.5000
Cl 0.2500 0.7500 0.5000
Cl 0.5000 0.5000 0.0000

Calculated values
offset from the most stable computed form: 71.4 meV/atom
E_form (uncorrected): -0.05 eV per atom
ρ: 9.874 g cm⁻³
total energy: -5.944 eV per formula unit

---

17.
Material: CePaAlGa
Method: DFT, GGA-PBE
State: optimized geometry

Unit cell a=5.0998 b=5.0998 c=5.0998 alpha=60.00 beta=60.00 gamma=60.00
Sites, in units of the cell vectors:
Ce 0.0000 0.0000 0.0000
Pa 0.5000 0.5000 0.5000
Al 0.2500 0.2500 0.2500
Ga 0.7500 0.7500 0.7500

Calculated values
DFT formation energy: -0.53 eV per formula unit
ρ: 8.284 g cm⁻³
total energy: -22.730 eV per formula unit

---

18.
Material: TbNd4Th3S8
Method: DFT, GGA-PBE
State: optimized geometry

Unit cell a=8.1029 b=8.1029 c=8.1029 alpha=59.65 beta=59.65 gamma=59.65
Sites, in units of the cell vectors:
Tb 0.0000 0.0000 0.0000
Nd 0.0000 0.0000 0.5000
Nd 0.0000 0.5000 0.0000
Nd 0.5000 0.0000 0.0000
Nd 0.5000 0.5000 0.5000
Th 0.0000 0.5000 0.5000
Th 0.5000 0.0000 0.5000
Th 0.5000 0.5000 0.0000
S 0.2456 0.2456 0.7537
S 0.2456 0.7537 0.2456
S 0.2463 0.7544 0.7544
S 0.2499 0.2499 0.2499
S 0.7501 0.7501 0.7501
S 0.7537 0.2456 0.2456
S 0.7544 0.2463 0.7544
S 0.7544 0.7544 0.2463

Calculated values
E_form (uncorrected): -1.95 eV per atom
ρ: 7.513 g cm⁻³
total energy: -110.142 eV per formula unit

---

19.
Material: PaSi3Ru3
Method: DFT, GGA-PBE
State: optimized geometry

Unit cell a=6.4587 b=6.4587 c=6.4587 alpha=90.00 beta=90.00 gamma=90.00
Sites, in units of the cell vectors:
Pa 0.0000 0.0000 0.0000
Pa 0.5000 0.5000 0.5000
Si 0.0000 0.2500 0.5000
Si 0.0000 0.7500 0.5000
Si 0.2500 0.5000 0.0000
Si 0.5000 0.0000 0.2500
Si 0.5000 0.0000 0.7500
Si 0.7500 0.5000 0.0000
Ru 0.0000 0.5000 0.2500
Ru 0.0000 0.5000 0.7500
Ru 0.2500 0.0000 0.5000
Ru 0.5000 0.2500 0.0000
Ru 0.5000 0.7500 0.0000
Ru 0.7500 0.0000 0.5000

Calculated values
E_form (uncorrected): 0.01 eV per atom
ρ: 7.624 g cm⁻³
total energy: -53.543 eV per formula unit

---

20.
Material: Dy2PS
Method: DFT, GGA-PBE
State: optimized geometry

Unit cell a=6.8805 b=6.8805 c=6.8805 alpha=33.42 beta=33.42 gamma=33.42
Sites, in units of the cell vectors:
Dy 0.2470 0.2470 0.2470
Dy 0.7530 0.7530 0.7530
P 0.5000 0.5000 0.5000
S 0.0000 0.0000 0.0000

Calculated values
offset from the most stable computed form: 4.2 meV/atom
E_form (uncorrected): -1.87 eV per atom
ρ: 7.321 g cm⁻³
total energy: -26.231 eV per formula unit